The following is a DFT calculation (PBE) of a geometry-optimized Sm8Te4P3Rh structure.

The structure belongs to space group R-3m (No. 166, hexagonal axes); the cell edges are 8.4610, 8.4610 and 21.5674 Å and the angles 90.00°, 90.00° and 120.00°. The asymmetric unit holds Sm at (0.0000, 0.0000, 0.2376), Sm at (0.0022, 0.5011, 0.2375), Te at (0.0000, 0.0000, 0.0000), Te at (0.0000, 0.5000, 0.0000), P at (0.0000, 0.5000, 0.5000) and Rh at (0.0000, 0.0000, 0.5000).

Its uncorrected formation energy is -1.41 eV per atom.

***

The following is a DFT calculation (PBE) of a geometry-optimized SmThP2Rh5 structure.

The structure belongs to space group P4/mmm (No. 123); the cell edges are 4.072, 4.072 and 10.778 Å and the angles 90.00°, 90.00° and 90.00°. The asymmetric unit holds Sm at (0.000, 0.000, 0.000), Th at (0.000, 0.000, 0.500), P at (0.500, 0.500, 0.210), Rh at (0.000, 0.500, 0.304) and Rh at (0.500, 0.500, 0.000).

Its energy relative to the elements is -846 meV per atom.

***

The following is a DFT calculation (PBE) of a geometry-optimized Sm2ThP3Rh12 structure.

The structure belongs to space group R-3m (No. 166, hexagonal axes); the cell edges are 9.0299, 9.0299 and 12.9526 Å and the angles 90.00°, 90.00° and 120.00°. The asymmetric unit holds Sm at (0.0000, 0.0000, 0.1262), Th at (0.0000, 0.0000, 0.5000), P at (0.0000, 0.5000, 0.0000), Rh at (0.0114, 0.5057, 0.8265) and Rh at (0.0303, 0.5152, 0.3809).

Its energy relative to the elements is -400 meV per atom.

***

The following is a DFT calculation (PBE) of a geometry-optimized Sm2TiP3Rh4 structure.

The structure belongs to space group P-4m2 (No. 115); the cell edges are 4.007, 4.007 and 10.499 Å and the angles 90.00°, 90.00° and 90.00°. The asymmetric unit holds Sm at (0.000, 0.500, 0.234), Ti at (0.000, 0.000, 0.500), P at (0.000, 0.500, 0.864), P at (0.500, 0.500, 0.500), Rh at (0.000, 0.000, 0.000), Rh at (0.000, 0.500, 0.640) and Rh at (0.500, 0.500, 0.000).

Its energy relative to the elements is -1089 meV per atom.

***

The following is a DFT calculation (PBE) of a geometry-optimized Sm3TlP2Rh9 structure.

The structure belongs to space group P-3m1 (No. 164); the cell edges are 6.0711, 6.0711 and 9.5781 Å and the angles 90.00°, 90.00° and 120.00°. The asymmetric unit holds Sm at (0.0000, 0.0000, 0.0000), Sm at (0.3333, 0.6667, 0.7272), Tl at (0.0000, 0.0000, 0.5000), P at (0.3333, 0.6667, 0.1564), Rh at (0.0000, 0.5000, 0.0000) and Rh at (0.1492, 0.2983, 0.2609).

Its energy relative to the elements is -566 meV per atom.

***

The following is a DFT calculation (PBE) of a geometry-optimized Sm2TmP3Rh12 structure.

The structure belongs to space group R-3m (No. 166, hexagonal axes); the cell edges are 8.9849, 8.9849 and 12.8616 Å and the angles 90.00°, 90.00° and 120.00°. The asymmetric unit holds Sm at (0.0000, 0.0000, 0.1274), Tm at (0.0000, 0.0000, 0.5000), P at (0.0000, 0.5000, 0.0000), Rh at (0.0080, 0.5040, 0.8265) and Rh at (0.0288, 0.5144, 0.3812).

Its energy relative to the elements is -374 meV per atom.

***

no.,raw total energy (eV/atom)
1,-6.03
2,-7.48
3,-7.14
4,-7.39
5,-6.80
6,-6.95